LaBeMoO2 (PBE with a Hubbard U, relaxed); V = 20.34 Å³ per atom; SG = No. 123; VASP energy = -5.342 eV per atom
1.0
3.956 0.000 0.000
0.000 6.496 0.000
0.000 0.000 3.956
Mo Be O La
1 1 2 1
Direct
0.000 0.000 0.000
0.500 0.500 0.500
0.000 0.000 0.500
0.500 0.000 0.000
0.000 0.500 0.000